1.
A relaxed Fe6O5F7 crystal, computed with GGA+U.

Structure (POSCAR):
```
Fe6O5F7
1.0
4.703 0.026 0.007
0.271 5.572 -0.128
0.268 0.463 7.801
Fe O F
6 5 7
direct
0.552 0.832 0.662
0.501 0.485 0.010
0.505 0.166 0.323
0.975 0.337 0.676
0.998 0.668 0.333
0.980 0.004 0.992
0.821 0.045 0.770
0.691 0.193 0.101
0.696 0.529 0.785
0.711 0.879 0.420
0.292 0.463 0.237
0.793 0.384 0.428
0.803 0.689 0.109
0.294 0.147 0.555
0.300 0.794 0.908
0.190 0.954 0.227
0.181 0.635 0.564
0.216 0.297 0.900
```

Values from the calculation:
crystal system	triclinic
raw total energy	-5.716	eV per atom
V	204.6	Å³/f.u.
total magnetization	18.933	μB per formula unit

---

2.
A relaxed Fe5O2F8 crystal, computed with GGA+U.

Structure (POSCAR):
```
Fe5O2F8
1.0
-2.926 -2.954 -2.352
-1.685 -1.640 4.157
-11.379 11.374 -0.126
Fe O F
10 4 16
direct
0.982 0.728 0.901
0.982 0.728 0.099
0.011 0.747 0.306
0.030 0.724 0.500
0.011 0.747 0.694
0.530 0.276 0.000
0.482 0.272 0.401
0.511 0.253 0.194
0.482 0.272 0.599
0.511 0.253 0.806
0.197 0.557 0.406
0.197 0.557 0.594
0.697 0.443 0.906
0.697 0.443 0.094
0.197 0.543 0.000
0.198 0.553 0.198
0.198 0.553 0.802
0.698 0.447 0.302
0.697 0.457 0.500
0.698 0.447 0.698
0.291 0.036 0.909
0.291 0.036 0.091
0.310 0.060 0.300
0.298 0.056 0.500
0.310 0.060 0.700
0.798 0.944 0.000
0.791 0.964 0.409
0.810 0.940 0.200
0.810 0.940 0.800
0.791 0.964 0.591
```

Values from the calculation:
crystal system	orthorhombic
raw total energy	-5.701	eV per atom
V	183.5	Å³/f.u.
total magnetization	22.000	μB per formula unit

---

Q: Which of these has the highest total magnetization?
A: Fe5O2F8

---

Q: Number 2 is which compound?
A: Fe5O2F8